Record 1
! Ho3CdN | Alexandria via LeMat-Bulk | PBE | relaxed; values from VASP
&SYSTEM
  ibrav = 0, nat = 5, ntyp = 3
/
ATOMIC_SPECIES
N 14.01 N.upf
Ho 164.93 Ho.upf
Cd 112.41 Cd.upf
CELL_PARAMETERS angstrom
4.799 0.000 0.000
0.000 4.799 0.000
0.000 0.000 4.799
ATOMIC_POSITIONS crystal
N 0.000 0.000 0.000
Ho 0.000 0.500 0.000
Ho 0.000 0.000 0.500
Ho 0.500 0.000 0.000
Cd 0.500 0.500 0.500
! Uncorrected formation energy, kJ/mol of atoms: -83.3
! Total energy, eV per atom: -5.458
! Symmetry: Pm-3m
! Magnetization, Bohr magnetons per cell: 0.00
! Theoretical density, Mg/m³: 9.3

Record 2
! Ho6Cd2NO | Alexandria via LeMat-Bulk | PBE | relaxed; values from VASP
&SYSTEM
  ibrav = 0, nat = 20, ntyp = 4
/
ATOMIC_SPECIES
Ho 164.93 Ho.upf
Cd 112.41 Cd.upf
N 14.01 N.upf
O 16.00 O.upf
CELL_PARAMETERS angstrom
-1.406 5.505 3.668
-4.829 1.709 -4.415
-6.393 -5.001 5.056
ATOMIC_POSITIONS crystal
Ho 0.500 0.250 0.252
Ho 0.500 0.250 0.748
Ho 0.000 0.750 0.248
Ho 0.000 0.750 0.752
Ho 0.252 0.002 0.500
Ho 0.748 0.002 0.500
Ho 0.252 0.498 0.500
Ho 0.748 0.498 0.500
Ho 0.752 0.502 0.000
Ho 0.248 0.502 0.000
Ho 0.248 0.998 0.000
Ho 0.752 0.998 0.000
Cd 0.500 0.750 0.250
Cd 0.000 0.250 0.750
Cd 0.500 0.750 0.750
Cd 0.000 0.250 0.250
N 0.500 0.250 0.500
N 0.000 0.750 0.000
O 0.000 0.750 0.500
O 0.500 0.250 0.000
! Uncorrected formation energy, kJ/mol of atoms: -107.1
! Total energy, eV per atom: -5.368
! Symmetry: Fm-3m
! Magnetization, Bohr magnetons per cell: 0.00
! Theoretical density, Mg/m³: 9.4